[1]
# SrPrBN2

Crystalline SrPrBN2 at its relaxed geometry (PBE, Alexandria).

Structure (POSCAR):
```
SrPrBN2
1.0
-0.9904 1.1432 5.0743
4.4955 -2.5293 1.4472
3.5750 5.9846 -0.6505
Sr Pr B N
2 2 2 4
direct
0.0002 0.5000 0.7500
0.9998 0.5000 0.2500
0.4999 0.0000 0.2500
0.5001 0.0000 0.7500
0.0000 0.0000 0.0000
0.0000 0.0000 0.5000
0.8038 0.8351 0.0001
0.8038 0.1649 0.4999
0.1962 0.8351 0.5001
0.1962 0.1649 0.9999
```

Values from the calculation:
final energy = -6.740 eV/atom
M_tot = 0.00 μB/cell
ΔE_f (raw) = -377 kJ/mol of formula units
symmetry = No. 49


[2]
# Pr2TaB2N6

Crystalline Pr2TaB2N6 at its relaxed geometry (PBE, Alexandria).

Structure (POSCAR):
```
Pr2TaB2N6
1.0
-4.4014 -1.6450 -2.5141
-3.1927 -3.5972 2.2950
-5.2800 2.1396 2.1957
Pr Ta B N
2 1 2 6
direct
0.7798 0.7798 0.6605
0.2202 0.2202 0.3395
0.0000 0.0000 0.0000
0.4170 0.4170 0.7489
0.5830 0.5830 0.2511
0.7425 0.7425 0.2440
0.2710 0.7425 0.2440
0.7425 0.2710 0.2440
0.2575 0.7290 0.7560
0.7290 0.2575 0.7560
0.2575 0.2575 0.7560
```

Values from the calculation:
final energy = -8.778 eV/atom
M_tot = 0.00 μB/cell
ΔE_f (raw) = -1142 kJ/mol of formula units
symmetry = No. 166


[3]
# PrThBN3

Crystalline PrThBN3 at its relaxed geometry (PBE, Alexandria).

Structure (POSCAR):
```
PrThBN3
1.0
-1.7436 1.4769 5.0020
1.6641 -5.1602 -0.9193
6.5921 1.8119 1.7629
Pr Th B N
2 2 2 6
direct
0.6667 0.3333 0.2500
0.3333 0.6667 0.7500
0.0000 0.0000 0.5000
0.0000 0.0000 0.0000
0.3333 0.6667 0.2500
0.6667 0.3333 0.7500
0.8209 0.1791 0.7500
0.1791 0.3581 0.2500
0.3581 0.1791 0.7500
0.6419 0.8209 0.2500
0.8209 0.6419 0.7500
0.1791 0.8209 0.2500
```

Values from the calculation:
final energy = -8.412 eV/atom
M_tot = 0.00 μB/cell
ΔE_f (raw) = -638 kJ/mol of formula units
symmetry = No. 194


[4]
# Pr3TmB2N6

Crystalline Pr3TmB2N6 at its relaxed geometry (PBE, Alexandria).

Structure (POSCAR):
```
Pr3TmB2N6
1.0
-0.1832 -0.7698 5.5612
-3.5526 -2.7887 -3.3399
4.2162 -4.7500 -0.5186
Pr Tm B N
3 1 2 6
direct
0.3333 0.6667 0.6626
0.6667 0.3333 0.3374
0.0000 0.0000 0.0000
0.0000 0.0000 0.5000
0.6667 0.3333 0.7478
0.3333 0.6667 0.2522
0.6318 0.8159 0.2781
0.1841 0.3682 0.2781
0.1841 0.8159 0.2781
0.8159 0.6318 0.7219
0.3682 0.1841 0.7219
0.8159 0.1841 0.7219
```

Values from the calculation:
final energy = -8.036 eV/atom
M_tot = 0.00 μB/cell
ΔE_f (raw) = -1382 kJ/mol of formula units
symmetry = No. 164